Tl6Hg2Se3S | PBE-GGA | optimized geometry

Output
Spin magnetization (μB per cell): 0.00
Formation energy from raw total energies (meV per atom): -216

abc: 8.645 8.645 6.104
angles: 91.88 91.88 65.21
Atoms (fractional coordinates):
Tl 0.117 0.696 0.687
Tl 0.165 0.165 0.746
Tl 0.304 0.883 0.313
Tl 0.696 0.117 0.687
Tl 0.835 0.835 0.254
Tl 0.883 0.304 0.313
Hg 0.342 0.342 0.223
Hg 0.658 0.658 0.777
Se 0.000 0.500 0.000
Se 0.500 0.000 0.000
Se 0.500 0.500 0.500
S 0.000 0.000 0.000

Tl2Hg2SeS2 | PBE-GGA | optimized geometry

Output
Spin magnetization (μB per cell): 0.00
Formation energy from raw total energies (meV per atom): -178

abc: 4.297 7.436 7.709
angles: 63.41 74.17 80.83
Atoms (fractional coordinates):
Tl 0.120 0.256 0.180
Tl 0.880 0.744 0.820
Hg 0.271 0.288 0.635
Hg 0.729 0.712 0.365
Se 0.500 0.000 0.500
S 0.308 0.632 0.233
S 0.692 0.368 0.767

Tm4Hg2SeS | PBE-GGA | optimized geometry

Output
Spin magnetization (μB per cell): 0.00
Formation energy from raw total energies (meV per atom): -1109

abc: 6.668 3.841 7.898
angles: 90.00 106.28 90.00
Atoms (fractional coordinates):
Tm 0.233 0.000 0.220
Tm 0.251 0.500 0.775
Tm 0.749 0.500 0.225
Tm 0.767 0.000 0.780
Hg 0.000 0.000 0.500
Hg 0.500 0.500 0.500
Se 0.500 0.000 0.000
S 0.000 0.500 0.000

Tm4HgSe2S | PBE-GGA | optimized geometry

Output
Spin magnetization (μB per cell): 0.00
Formation energy from raw total energies (meV per atom): -1390

abc: 7.101 3.917 7.114
angles: 90.00 108.06 90.00
Atoms (fractional coordinates):
Tm 0.237 0.000 0.238
Tm 0.250 0.500 0.756
Tm 0.750 0.500 0.244
Tm 0.763 0.000 0.762
Hg 0.000 0.000 0.500
Se 0.500 0.000 0.000
Se 0.500 0.500 0.500
S 0.000 0.500 0.000

Density, respectively: 7.61; 7.47; 10.16; 9.41 g/cm3.